--- one ---
# Y2TcHPb

Y2TcHPb after structural relaxation (PBE, Alexandria).

Cell lengths 5.013, 5.013, 3.854 Å; angles 90.00, 90.00, 90.00 degrees
Last column: magnetic moment on the atom in μB.
Atoms (fractional coordinates):
1 Pb 0.500 0.500 0.500  0.00
2 Y 0.000 0.500 0.000  -0.04
3 Y 0.500 0.000 0.000  -0.04
4 Tc 0.000 0.000 0.500  0.50
5 H 0.000 0.000 0.000  0.00

The calculation puts the spin magnetization at 0.08 μB per atom. The value obtained for the density of states at the Fermi level is 0.744 states/eV/f.u.


--- two ---
# Y2TcHPb

Y2TcHPb after structural relaxation (PBE, Alexandria).

Cell lengths 5.866, 3.659, 5.866 Å; angles 90.00, 90.00, 90.00 degrees
Last column: magnetic moment on the atom in μB.
Atoms (fractional coordinates):
1 Pb 0.000 0.000 0.000  0.02
2 Y 0.000 0.000 0.500  -0.14
3 Y 0.500 0.000 0.000  -0.12
4 Tc 0.500 0.500 0.500  1.82
5 H 0.000 0.500 0.000  0.00

The calculation puts the spin magnetization at 0.32 μB per atom. The value obtained for the density of states at the Fermi level is 3.536 states/eV/f.u.


Quick one: most stable of them? one


--- one ---
# TeH2Pb

TeH2Pb after structural relaxation (PBE, Alexandria).

Cell lengths 4.561, 4.561, 4.561 Å; angles 60.00, 60.00, 60.00 degrees
Atoms (fractional coordinates):
1 Pb 0.500 0.500 0.500
2 H 0.250 0.250 0.250
3 H 0.750 0.750 0.750
4 Te 0.000 0.000 0.000

The calculation puts the spin magnetization at 0.00 μB per atom. The value obtained for the density of states at the Fermi level is 1.159 states/eV/f.u.


--- two ---
# TeH2Pb

TeH2Pb after structural relaxation (PBE, Alexandria).

Cell lengths 4.398, 6.499, 7.955 Å; angles 90.00, 106.06, 90.00 degrees
Atoms (fractional coordinates):
1 Te 0.838 0.250 0.176
2 Te 0.162 0.750 0.824
3 H 0.462 0.692 0.424
4 H 0.538 0.308 0.576
5 H 0.462 0.808 0.424
6 H 0.538 0.192 0.576
7 Pb 0.799 0.750 0.098
8 Pb 0.201 0.250 0.902

The calculation puts the spin magnetization at 0.00 μB per atom.


Quick one: most stable of them? two


--- one ---
# TeH3Pb

TeH3Pb after structural relaxation (PBE, Alexandria).

Cell lengths 4.232, 4.232, 4.232 Å; angles 90.00, 90.00, 90.00 degrees
Atoms (fractional coordinates):
1 Pb 0.000 0.000 0.000
2 H 0.000 0.500 0.000
3 H 0.000 0.000 0.500
4 H 0.500 0.000 0.000
5 Te 0.500 0.500 0.500

The calculation puts the spin magnetization at 0.00 μB per atom. The value obtained for the density of states at the Fermi level is 3.512 states/eV/f.u.


--- two ---
# TeH3Pb

TeH3Pb after structural relaxation (PBE, Alexandria).

Cell lengths 4.176, 4.176, 4.176 Å; angles 90.00, 90.00, 90.00 degrees
Atoms (fractional coordinates):
1 Pb 0.500 0.500 0.500
2 H 0.000 0.500 0.000
3 H 0.000 0.000 0.500
4 H 0.500 0.000 0.000
5 Te 0.000 0.000 0.000

The calculation puts the spin magnetization at 0.00 μB per atom. The value obtained for the density of states at the Fermi level is 1.147 states/eV/f.u.


Quick one: most stable of them? two


--- one ---
# Th3HPb

Th3HPb after structural relaxation (PBE, Alexandria).

Cell lengths 7.035, 8.537, 6.998 Å; angles 128.12, 120.18, 90.00 degrees
Atoms (fractional coordinates):
1 Th 0.996 0.785 0.489
2 Th 0.051 0.292 0.101
3 Th 0.493 0.785 0.489
4 Th 0.507 0.215 0.511
5 Th 0.004 0.215 0.511
6 Th 0.949 0.708 0.899
7 H 0.779 0.027 0.558
8 H 0.221 0.973 0.442
9 Pb 0.451 0.706 0.902
10 Pb 0.549 0.294 0.098

The calculation puts the spin magnetization at 0.00 μB per atom. The value obtained for the density of states at the Fermi level is 4.747 states/eV/f.u.


--- two ---
# Th3HPb

Th3HPb after structural relaxation (PBE, Alexandria).

Cell lengths 5.011, 5.011, 5.011 Å; angles 90.00, 90.00, 90.00 degrees
Atoms (fractional coordinates):
1 Pb 0.500 0.500 0.500
2 H 0.000 0.000 0.000
3 Th 0.000 0.500 0.000
4 Th 0.000 0.000 0.500
5 Th 0.500 0.000 0.000

The calculation puts the spin magnetization at 0.00 μB per atom. The value obtained for the density of states at the Fermi level is 4.750 states/eV/f.u.


Quick one: most stable of them? two


--- one ---
# ThHPb

ThHPb after structural relaxation (PBE, Alexandria).

Cell lengths 4.125, 6.620, 9.659 Å; angles 90.00, 90.00, 90.00 degrees
Atoms (fractional coordinates):
1 Th 0.750 0.910 0.217
2 Th 0.750 0.590 0.717
3 Th 0.250 0.090 0.783
4 Th 0.250 0.410 0.283
5 H 0.750 0.574 0.272
6 H 0.750 0.926 0.772
7 H 0.250 0.074 0.228
8 H 0.250 0.426 0.728
9 Pb 0.250 0.807 0.489
10 Pb 0.750 0.307 0.011
11 Pb 0.250 0.693 0.989
12 Pb 0.750 0.193 0.511

The calculation puts the spin magnetization at 0.00 μB per atom. The value obtained for the density of states at the Fermi level is 1.359 states/eV/f.u.


--- two ---
# ThHPb

ThHPb after structural relaxation (PBE, Alexandria).

Cell lengths 3.435, 5.914, 6.668 Å; angles 90.00, 90.00, 106.88 degrees
Atoms (fractional coordinates):
1 Pb 0.733 0.465 0.250
2 Pb 0.267 0.535 0.750
3 H 0.535 0.069 0.750
4 H 0.465 0.931 0.250
5 Th 0.000 0.000 0.500
6 Th 0.000 0.000 0.000

The calculation puts the spin magnetization at 0.00 μB per atom. The value obtained for the density of states at the Fermi level is 1.797 states/eV/f.u.


Quick one: most stable of them? one


--- one ---
# ThHPb

ThHPb after structural relaxation (PBE, Alexandria).

Cell lengths 3.399, 3.399, 6.375 Å; angles 105.46, 105.46, 90.00 degrees
Atoms (fractional coordinates):
1 Pb 0.007 0.007 0.013
2 H 0.270 0.270 0.539
3 Th 0.724 0.724 0.448

The calculation puts the spin magnetization at 0.00 μB per atom. The value obtained for the density of states at the Fermi level is 1.846 states/eV/f.u.


--- two ---
# ThHPb

ThHPb after structural relaxation (PBE, Alexandria).

Cell lengths 3.600, 3.591, 12.583 Å; angles 98.05, 81.77, 59.92 degrees
Atoms (fractional coordinates):
1 Th 0.809 0.025 0.357
2 Th 0.191 0.975 0.643
3 H 0.616 0.216 0.551
4 H 0.384 0.784 0.449
5 Pb 0.362 0.149 0.127
6 Pb 0.638 0.851 0.873

The calculation puts the spin magnetization at 0.00 μB per atom. The value obtained for the density of states at the Fermi level is 1.379 states/eV/f.u.


--- three ---
# ThHPb

ThHPb after structural relaxation (PBE, Alexandria).

Cell lengths 4.865, 4.003, 4.003 Å; angles 120.00, 90.00, 90.00 degrees
Atoms (fractional coordinates):
1 Pb 0.666 0.333 0.667
2 H 0.167 0.000 0.000
3 Th 0.166 0.667 0.333

The calculation puts the spin magnetization at 0.00 μB per atom. The value obtained for the density of states at the Fermi level is 1.538 states/eV/f.u.


Quick one: most stable of them? three


--- one ---
# Ti2HPb

Ti2HPb after structural relaxation (PBE, Alexandria).

Cell lengths 4.370, 3.805, 7.351 Å; angles 105.00, 90.00, 90.00 degrees
Atoms (fractional coordinates):
1 Ti 0.250 0.242 0.484
2 Ti 0.750 0.758 0.516
3 Ti 0.750 0.426 0.851
4 Ti 0.250 0.574 0.149
5 H 0.750 0.289 0.578
6 H 0.250 0.711 0.422
7 Pb 0.250 0.905 0.810
8 Pb 0.750 0.095 0.190

The calculation puts the spin magnetization at 0.00 μB per atom. The value obtained for the density of states at the Fermi level is 3.436 states/eV/f.u.


--- two ---
# Ti2HPb

Ti2HPb after structural relaxation (PBE, Alexandria).

Cell lengths 3.225, 3.225, 7.188 Å; angles 77.03, 77.03, 60.00 degrees
Last column: magnetic moment on the atom in μB.
Atoms (fractional coordinates):
1 Pb 0.500 0.500 0.500  0.00
2 H 0.000 0.000 0.000  -0.01
3 Ti 0.284 0.284 0.148  0.49
4 Ti 0.716 0.716 0.852  0.49

The calculation puts the spin magnetization at 0.29 μB per atom. The value obtained for the density of states at the Fermi level is 4.609 states/eV/f.u.


--- three ---
# Ti2HPb

Ti2HPb after structural relaxation (PBE, Alexandria).

Cell lengths 4.571, 4.571, 4.571 Å; angles 60.00, 60.00, 60.00 degrees
Atoms (fractional coordinates):
1 Pb 0.500 0.500 0.500
2 H 0.000 0.000 0.000
3 Ti 0.250 0.250 0.250
4 Ti 0.750 0.750 0.750

The calculation puts the spin magnetization at 0.00 μB per atom. The value obtained for the density of states at the Fermi level is 3.790 states/eV/f.u.


--- four ---
# Ti2HPb

Ti2HPb after structural relaxation (PBE, Alexandria).

Cell lengths 3.011, 4.967, 4.967 Å; angles 63.76, 72.30, 72.29 degrees
Last column: magnetic moment on the atom in μB.
Atoms (fractional coordinates):
1 Ti 0.925 0.075 0.075  0.22
2 Ti 0.575 0.425 0.425  0.22
3 H 0.250 0.250 0.250  0.00
4 Pb 0.750 0.750 0.750  -0.01

The calculation puts the spin magnetization at 0.14 μB per atom. The value obtained for the density of states at the Fermi level is 4.703 states/eV/f.u.


Quick one: most stable of them? one


--- one ---
# Ti2HPb

Ti2HPb after structural relaxation (PBE, Alexandria).

Cell lengths 3.236, 3.236, 7.120 Å; angles 76.81, 76.81, 59.95 degrees
Last column: magnetic moment on the atom in μB.
Atoms (fractional coordinates):
1 Ti 0.048 0.048 0.852  0.45
2 Ti 0.284 0.284 0.150  0.41
3 H 0.667 0.667 0.998  -0.01
4 Pb 0.500 0.500 0.500  -0.01

The calculation puts the spin magnetization at 0.25 μB per atom. The value obtained for the density of states at the Fermi level is 3.242 states/eV/f.u.


--- two ---
# Ti2HPb

Ti2HPb after structural relaxation (PBE, Alexandria).

Cell lengths 5.358, 5.358, 5.980 Å; angles 63.39, 63.39, 90.00 degrees
Atoms (fractional coordinates):
1 Pb 0.000 0.000 0.000
2 Pb 0.750 0.250 0.500
3 H 0.500 0.500 0.000
4 H 0.250 0.750 0.500
5 Ti 0.375 0.125 0.250
6 Ti 0.375 0.625 0.250
7 Ti 0.375 0.625 0.750
8 Ti 0.875 0.625 0.750

The calculation puts the spin magnetization at 0.00 μB per atom. The value obtained for the density of states at the Fermi level is 4.005 states/eV/f.u.


Quick one: most stable of them? one


--- one ---
# Ti3HPb

Ti3HPb after structural relaxation (PBE, Alexandria).

Cell lengths 5.464, 5.464, 5.424 Å; angles 90.00, 90.00, 80.46 degrees
Atoms (fractional coordinates):
1 Pb 0.351 0.649 0.250
2 Pb 0.649 0.351 0.750
3 H 0.809 0.191 0.250
4 H 0.191 0.809 0.750
5 Ti 0.872 0.526 0.250
6 Ti 0.474 0.128 0.250
7 Ti 0.526 0.872 0.750
8 Ti 0.128 0.474 0.750
9 Ti 0.000 0.000 0.000
10 Ti 0.000 0.000 0.500

The calculation puts the spin magnetization at 0.00 μB per atom. The value obtained for the density of states at the Fermi level is 7.343 states/eV/f.u.


--- two ---
# Ti3HPb

Ti3HPb after structural relaxation (PBE, Alexandria).

Cell lengths 5.377, 5.796, 5.352 Å; angles 90.00, 114.53, 90.00 degrees
Last column: magnetic moment on the atom in μB.
Atoms (fractional coordinates):
1 Pb 0.259 0.250 0.271  0.00
2 Pb 0.741 0.750 0.729  0.00
3 H 0.548 0.250 0.954  0.00
4 H 0.452 0.750 0.046  0.00
5 Ti 0.758 0.498 0.249  0.15
6 Ti 0.242 0.502 0.751  0.15
7 Ti 0.758 0.002 0.249  0.14
8 Ti 0.242 0.998 0.751  0.14
9 Ti 0.772 0.250 0.761  0.52
10 Ti 0.228 0.750 0.239  0.52

The calculation puts the spin magnetization at 0.20 μB per atom. The value obtained for the density of states at the Fermi level is 4.491 states/eV/f.u.


Quick one: most stable of them? two


--- one ---
# Ti3HPb

Ti3HPb after structural relaxation (PBE, Alexandria).

Cell lengths 5.451, 7.899, 7.420 Å; angles 90.00, 90.00, 90.00 degrees
Atoms (fractional coordinates):
1 Pb 0.000 0.000 0.500
2 Pb 0.500 0.500 0.000
3 Pb 0.500 0.000 0.000
4 Pb 0.000 0.500 0.500
5 H 0.500 0.250 0.570
6 H 0.000 0.750 0.070
7 H 0.500 0.750 0.430
8 H 0.000 0.250 0.930
9 Ti 0.000 0.900 0.874
10 Ti 0.500 0.400 0.374
11 Ti 0.500 0.100 0.374
12 Ti 0.000 0.400 0.126
13 Ti 0.000 0.100 0.126
14 Ti 0.500 0.600 0.626
15 Ti 0.500 0.900 0.626
16 Ti 0.000 0.600 0.874
17 Ti 0.250 0.250 0.750
18 Ti 0.250 0.750 0.250
19 Ti 0.750 0.750 0.250
20 Ti 0.750 0.250 0.750

The calculation puts the spin magnetization at 0.00 μB per atom. The value obtained for the density of states at the Fermi level is 4.500 states/eV/f.u.


--- two ---
# Ti3HPb

Ti3HPb after structural relaxation (PBE, Alexandria).

Cell lengths 7.529, 7.529, 7.529 Å; angles 41.73, 41.73, 41.73 degrees
Atoms (fractional coordinates):
1 Pb 0.330 0.330 0.330
2 Pb 0.670 0.670 0.670
3 H 0.168 0.168 0.168
4 H 0.832 0.832 0.832
5 Ti 0.423 0.131 0.794
6 Ti 0.131 0.794 0.423
7 Ti 0.206 0.577 0.869
8 Ti 0.869 0.206 0.577
9 Ti 0.577 0.869 0.206
10 Ti 0.794 0.423 0.131

The calculation puts the spin magnetization at 0.00 μB per atom. The value obtained for the density of states at the Fermi level is 3.101 states/eV/f.u.


Quick one: most stable of them? two